# 1
Compound: Te5Ru3
Source: Alexandria via LeMat-Bulk
Functional: PBE-GGA
Structure: relaxed

Summary:
VASP energy: -82.2 eV for the cell shown
Energy relative to the lowest polymorph listed for this composition: 34 meV/atom

Geometry as POSCAR:
```
Te5Ru3
1.0
8.393 0.000 0.000
-4.196 7.268 0.000
0.000 0.000 5.645
Te Ru
10 6
Direct
0.000 0.274 0.250
0.000 0.726 0.750
0.274 0.000 0.250
0.274 0.274 0.750
0.333 0.667 0.000
0.333 0.667 0.500
0.667 0.333 0.000
0.667 0.333 0.500
0.726 0.000 0.750
0.726 0.726 0.250
0.000 0.402 0.750
0.000 0.598 0.250
0.402 0.000 0.750
0.402 0.402 0.250
0.598 0.000 0.250
0.598 0.598 0.750
```


# 2
Compound: Ca2PrSm
Source: Alexandria via LeMat-Bulk
Functional: PBE-GGA
Structure: relaxed

Summary:
VASP energy: -13.0 eV for the cell shown
Energy relative to the lowest polymorph listed for this composition: 85 meV/atom

Geometry as POSCAR:
```
Ca2PrSm
1.0
0.000 4.212 4.212
4.212 0.000 4.212
4.212 4.212 0.000
Ca Pr Sm
2 1 1
Direct
0.250 0.250 0.250
0.750 0.750 0.750
0.000 0.000 0.000
0.500 0.500 0.500
```